Compound: Nb2GaCo6
Source: Alexandria
Functional: PBE
Structure: relaxed

Values from the calculation:
**DFT formation energy**: 0.022 eV per atom

```
Nb2GaCo6
1.0
2.6311 0.0000 -0.1072
0.0000 7.8988 0.0000
-1.0965 -3.9494 5.6339
Nb Co Ga
2 6 1
Direct
0.8508 0.3617 0.7234
0.1492 0.6383 0.2766
0.1779 0.0147 0.3644
0.8221 0.9853 0.6356
0.8221 0.6503 0.6356
0.5000 0.7294 0.0000
0.1779 0.3497 0.3644
0.5000 0.2706 0.0000
0.0000 0.0000 0.0000
```